Compound: MnOF
Source: Alexandria via LeMat-Bulk
Functional: PBE+U
Structure: relaxed

Values from the calculation:
- N(E_F): 0.60 states/eV/f.u.
- Size of the total moment: 1.33 μB/atom
- Crystal system: orthorhombic
- Uncorrected energy: -6.736 eV per atom

a = 4.6205 Å, b = 4.6205 Å, c = 12.7454 Å
α = 90.00°, β = 90.00°, γ = 90.25°
Closest atoms and distances in Å follow each position.
Atoms (fractional coordinates):
O: 0.6748 0.6748 0.0000  3 Mn 1.94-1.96
O: 0.8178 0.1756 0.8786  3 Mn 1.92-1.99
O: 0.1756 0.8178 0.3786  3 Mn 1.92-1.99
O: 0.8178 0.1756 0.6214  3 Mn 1.92-1.99
O: 0.3423 0.2982 0.7500  3 Mn 1.90-1.99
O: 0.1756 0.8178 0.1214  3 Mn 1.92-1.99
O: 0.2982 0.3423 0.2500  3 Mn 1.90-1.99
O: 0.6748 0.6748 0.5000  3 Mn 1.94-1.96
F: 0.7798 0.2253 0.1302  3 Mn 2.00-2.22
F: 0.7489 0.7083 0.7500  3 Mn 1.98-2.19
F: 0.7083 0.7489 0.2500  3 Mn 1.98-2.19
F: 0.2756 0.2756 0.0000  3 Mn 1.98-2.16
F: 0.2253 0.7798 0.6302  3 Mn 2.00-2.22
F: 0.2756 0.2756 0.5000  3 Mn 1.98-2.16
F: 0.2253 0.7798 0.8698  3 Mn 2.00-2.22
F: 0.7798 0.2253 0.3698  3 Mn 2.00-2.22
Mn: 0.9716 0.9716 0.0000  3 O 1.94-1.95, 1 F 1.98
Mn: 0.0225 0.0400 0.7500  3 O 1.90-1.99, 1 F 1.98
Mn: 0.5270 0.4723 0.6241  3 O 1.92-1.99, 1 F 2.00
Mn: 0.0400 0.0225 0.2500  3 O 1.90-1.99, 1 F 1.98
Mn: 0.9716 0.9716 0.5000  3 O 1.94-1.95, 1 F 1.98
Mn: 0.5270 0.4723 0.8759  3 O 1.92-1.99, 1 F 2.00
Mn: 0.4723 0.5270 0.1241  3 O 1.92-1.99, 1 F 2.00
Mn: 0.4723 0.5270 0.3759  3 O 1.92-1.99, 1 F 2.00